Entry 1:
## BaCa2MgPd (PBE)

Data for BaCa2MgPd after structural relaxation.

extended XYZ file:
```
5
Lattice="5.681 0.000 0.000 0.000 5.681 0.000 0.000 0.000 5.377" Properties=species:S:1:pos:R:3 pbc="T T T"
Ba 0.000 0.000 0.000
Ca 0.000 2.841 2.689
Ca 2.841 0.000 2.689
Mg 2.841 2.841 0.000
Pd 2.841 2.841 2.689
```

Symmetry: P4/mmm
DFT formation energy in eV/atom: -0.29
Fermi-level density of states in states/eV/atom: 0.949


Entry 2:
## BaCa2MgPd (PBE)

Data for BaCa2MgPd after structural relaxation.

extended XYZ file:
```
5
Lattice="5.649 0.000 0.000 0.000 5.649 0.000 0.000 0.000 6.151" Properties=species:S:1:pos:R:3 pbc="T T T"
Ba 0.000 0.000 0.000
Ca 0.000 2.825 3.076
Ca 2.825 0.000 3.076
Mg 2.825 2.825 0.000
Pd 0.000 0.000 3.076
```

Symmetry: P4/mmm
DFT formation energy in eV/atom: -0.22
Fermi-level density of states in states/eV/atom: 0.671


Entry 3:
## Ba2CaMgPd (PBE)

Data for Ba2CaMgPd after structural relaxation.

extended XYZ file:
```
5
Lattice="6.243 0.000 0.000 0.000 6.243 0.000 0.000 0.000 5.331" Properties=species:S:1:pos:R:3 pbc="T T T"
Ba 0.000 3.122 0.000
Ba 3.122 0.000 0.000
Ca 0.000 0.000 2.666
Mg 3.122 3.122 2.666
Pd 3.122 3.122 0.000
```

Symmetry: P4/mmm
DFT formation energy in eV/atom: -0.19
Fermi-level density of states in states/eV/atom: 0.982


Entry 4:
## Ba2CaMgPd (PBE)

Data for Ba2CaMgPd after structural relaxation.

extended XYZ file:
```
5
Lattice="6.230 0.000 0.000 0.000 6.230 0.000 0.000 0.000 5.632" Properties=species:S:1:pos:R:3 pbc="T T T"
Ba 0.000 3.115 0.000
Ba 3.115 0.000 0.000
Ca 0.000 0.000 2.816
Mg 3.115 3.115 2.816
Pd 0.000 0.000 0.000
```

Symmetry: P4/mmm
DFT formation energy in eV/atom: -0.21
Fermi-level density of states in states/eV/atom: 0.650